# ReAg2F2, optimized geometry, DFT GGA-PBE
# Uncorrected energy (eV per atom): -4.210
# Magnetic moment (μB per cell): 0.000
data_ReAg2F2
_chemical_formula_sum 'Re2 Ag4 F4'
_symmetry_space_group_name_H-M 'I 4/m m m'
_symmetry_Int_Tables_number 139
_symmetry_space_group_name_Hall '-I 4 2'
_cell_length_a 3.206
_cell_length_b 3.206
_cell_length_c 13.504
_cell_angle_alpha 90.00
_cell_angle_beta 90.00
_cell_angle_gamma 90.00
loop_
_atom_site_label
_atom_site_fract_x
_atom_site_fract_y
_atom_site_fract_z
Re1 0.000 0.000 0.000
Ag1 0.000 0.000 0.371
F1 0.000 0.500 0.250

---

# ReAgF3, optimized geometry, DFT GGA-PBE
# Uncorrected energy (eV per atom): -4.813
# Magnetic moment (μB per cell): 1.997
data_ReAgF3
_chemical_formula_sum 'Re1 Ag1 F3'
_symmetry_space_group_name_H-M 'P m -3 m'
_symmetry_Int_Tables_number 221
_symmetry_space_group_name_Hall '-P 4 2 3'
_cell_length_a 4.242
_cell_length_b 4.242
_cell_length_c 4.242
_cell_angle_alpha 90.00
_cell_angle_beta 90.00
_cell_angle_gamma 90.00
loop_
_atom_site_label
_atom_site_fract_x
_atom_site_fract_y
_atom_site_fract_z
Re1 0.000 0.000 0.000
Ag1 0.500 0.500 0.500
F1 0.000 0.000 0.500

---

# Re2AgF, optimized geometry, DFT GGA-PBE
# Uncorrected energy (eV per atom): -6.297
# Magnetic moment (μB per cell): 0.000
data_Re2AgF
_chemical_formula_sum 'Re8 Ag4 F4'
_symmetry_space_group_name_H-M 'F m -3 m'
_symmetry_Int_Tables_number 225
_symmetry_space_group_name_Hall '-F 4 2 3'
_cell_length_a 6.140
_cell_length_b 6.140
_cell_length_c 6.140
_cell_angle_alpha 90.00
_cell_angle_beta 90.00
_cell_angle_gamma 90.00
loop_
_atom_site_label
_atom_site_fract_x
_atom_site_fract_y
_atom_site_fract_z
Re1 0.250 0.250 0.250
Ag1 0.000 0.000 0.000
F1 0.000 0.000 0.500